Record 1
First-principles (PBE) data for a geometry-optimized CeMgMnGe2 structure, as listed in Alexandria.

## Properties
For the formation enthalpy at 0 K, the calculation gives -0.421 eV/atom.

Cell lengths 4.154, 4.154, 11.392 Å; angles 90.00, 90.00, 90.00 degrees
Space group I-4m2 (No. 119)
Unique sites:
Ce 0.000 0.000 0.000
Mg 0.000 0.500 0.750
Mn 0.000 0.500 0.250
Ge 0.000 0.000 0.389

---

Record 2
First-principles (PBE) data for a geometry-optimized Li2Pr2TmIn5 structure, as listed in Alexandria.

## Properties
For the formation enthalpy at 0 K, the calculation gives -0.424 eV/atom.

Cell lengths 10.344, 10.344, 4.548 Å; angles 90.00, 90.00, 90.00 degrees
Space group P4/mbm (No. 127)
Unique sites:
Li 0.116 0.384 0.000
Pr 0.179 0.679 0.000
Tm 0.000 0.000 0.000
In 0.000 0.500 0.500
In 0.066 0.210 0.500

---

Record 3
First-principles (PBE) data for a geometry-optimized Np3NbPd12 structure, as listed in Alexandria.

## Properties
For the formation enthalpy at 0 K, the calculation gives -0.406 eV/atom.

Cell lengths 4.108, 4.108, 16.520 Å; angles 90.00, 90.00, 90.00 degrees
Space group P4/mmm (No. 123)
Unique sites:
Np 0.000 0.000 0.000
Np 0.000 0.000 0.254
Nb 0.000 0.000 0.500
Pd 0.000 0.500 0.128
Pd 0.000 0.500 0.386
Pd 0.500 0.500 0.000
Pd 0.500 0.500 0.258
Pd 0.500 0.500 0.500

---

Record 4
First-principles (PBE) data for a geometry-optimized NaInPO4 structure, as listed in Alexandria.

## Properties
The calculated total energy comes out at -5.9642 eV per atom.

Cell lengths 6.238, 6.308, 8.839 Å; angles 90.00, 90.00, 90.00 degrees
Space group Imma (No. 74)
Unique sites:
Na 0.000 0.000 0.000
In 0.250 0.250 0.250
P 0.000 0.250 0.616
O 0.000 0.048 0.723
O 0.208 0.250 0.518